Record 1
A plane-wave DFT calculation with PBE-GGA was carried out for PrErAl2S6 after structural relaxation.

**Crystal system**: trigonal
**Magnetization**: 0.000 μB per formula unit
**Formation energy without anion corrections**: -1.509 eV/atom

Geometry as CIF:
```
data_PrErAl2S6
_chemical_formula_sum 'Pr3 Er3 Al6 S18'
_symmetry_space_group_name_H-M 'R -3'
_symmetry_Int_Tables_number 148
_symmetry_space_group_name_Hall '-R 3'
_cell_length_a 6.3957
_cell_length_b 6.3957
_cell_length_c 20.2489
_cell_angle_alpha 90.00
_cell_angle_beta 90.00
_cell_angle_gamma 120.00
loop_
_atom_site_label
_atom_site_fract_x
_atom_site_fract_y
_atom_site_fract_z
Pr1 0.0000 0.0000 0.0000
Er1 0.0000 0.0000 0.5000
Al1 0.0000 0.0000 0.1716
S1 0.0030 0.3628 0.5681
```

Record 2
A plane-wave DFT calculation with PBE-GGA was carried out for CuIrF2 after structural relaxation.

**Crystal system**: trigonal
**Magnetization**: 1.939 μB per formula unit
**Formation energy without anion corrections**: -0.348 eV/atom

Geometry as CIF:
```
data_CuIrF2
_chemical_formula_sum 'Cu3 Ir3 F6'
_symmetry_space_group_name_H-M 'R -3 m'
_symmetry_Int_Tables_number 166
_symmetry_space_group_name_Hall '-R 3 2"'
_cell_length_a 2.7122
_cell_length_b 2.7122
_cell_length_c 23.8273
_cell_angle_alpha 90.00
_cell_angle_beta 90.00
_cell_angle_gamma 120.00
loop_
_atom_site_label
_atom_site_fract_x
_atom_site_fract_y
_atom_site_fract_z
Cu1 0.0000 0.0000 0.0000
Ir1 0.0000 0.0000 0.5000
F1 0.0000 0.0000 0.0761
```

Record 3
A plane-wave DFT calculation with PBE-GGA was carried out for Ta3ReBr after structural relaxation.

**Crystal system**: cubic
**Magnetization**: 0.000 μB per formula unit
**Formation energy without anion corrections**: 1.432 eV/atom

Geometry as CIF:
```
data_Ta3ReBr
_chemical_formula_sum 'Ta3 Re1 Br1'
_symmetry_space_group_name_H-M 'P m -3 m'
_symmetry_Int_Tables_number 221
_symmetry_space_group_name_Hall '-P 4 2 3'
_cell_length_a 4.928
_cell_length_b 4.928
_cell_length_c 4.928
_cell_angle_alpha 90.00
_cell_angle_beta 90.00
_cell_angle_gamma 90.00
loop_
_atom_site_label
_atom_site_fract_x
_atom_site_fract_y
_atom_site_fract_z
Ta1 0.000 0.000 0.500
Re1 0.000 0.000 0.000
Br1 0.500 0.500 0.500
```